# 1
# Mg2AuI PBE relaxed
data_Mg2AuI
_chemical_formula_sum 'Mg8 Au4 I4'
_space_group_name_H-M_alt 'F m -3 m'
_space_group_IT_number 225
_space_group_name_Hall '-F 4 2 3'
_cell_length_a 7.3055
_cell_length_b 7.3055
_cell_length_c 7.3055
_cell_angle_alpha 90.00
_cell_angle_beta 90.00
_cell_angle_gamma 90.00
loop_
_atom_site_label
_atom_site_type_symbol
_atom_site_fract_x
_atom_site_fract_y
_atom_site_fract_z
Mg1 Mg 0.2500 0.2500 0.2500
Au1 Au 0.0000 0.0000 0.0000
I1 I 0.0000 0.0000 0.5000
# size of the total moment: 0.0 μB per formula unit
# excess energy over the best structure of this formula in the dataset: 22.9 kJ per mole of atoms
# energy relative to the elements, uncorrected: -0.08 eV/atom

---

# 2
# MgMo2AuI PBE relaxed
data_MgMo2AuI
_chemical_formula_sum 'Mg1 Mo2 Au1 I1'
_space_group_name_H-M_alt 'P 4/m m m'
_space_group_IT_number 123
_space_group_name_Hall '-P 4 2'
_cell_length_a 4.8951
_cell_length_b 4.8951
_cell_length_c 4.6575
_cell_angle_alpha 90.00
_cell_angle_beta 90.00
_cell_angle_gamma 90.00
loop_
_atom_site_label
_atom_site_type_symbol
_atom_site_fract_x
_atom_site_fract_y
_atom_site_fract_z
Mg1 Mg 0.0000 0.0000 0.0000
Mo1 Mo 0.0000 0.5000 0.0000
Au1 Au 0.0000 0.0000 0.5000
I1 I 0.5000 0.5000 0.5000
# size of the total moment: 0.0 μB per formula unit
# energy relative to the elements, uncorrected: 1.84 eV/atom

---

# 3
# MgAuI2N PBE relaxed
data_MgAuI2N
_chemical_formula_sum 'Mg1 Au1 I2 N1'
_space_group_name_H-M_alt 'P 4/m m m'
_space_group_IT_number 123
_space_group_name_Hall '-P 4 2'
_cell_length_a 5.7975
_cell_length_b 5.7975
_cell_length_c 4.0576
_cell_angle_alpha 90.00
_cell_angle_beta 90.00
_cell_angle_gamma 90.00
loop_
_atom_site_label
_atom_site_type_symbol
_atom_site_fract_x
_atom_site_fract_y
_atom_site_fract_z
Mg1 Mg 0.0000 0.0000 0.0000
Au1 Au 0.5000 0.5000 0.5000
I1 I 0.0000 0.5000 0.0000
N1 N 0.0000 0.0000 0.5000
# size of the total moment: 2.1 μB per formula unit
# excess energy over the best structure of this formula in the dataset: 0.0 kJ per mole of atoms
# energy relative to the elements, uncorrected: 0.54 eV/atom

---

# 4
# MgAuI2N PBE relaxed
data_MgAuI2N
_chemical_formula_sum 'Mg1 Au1 I2 N1'
_space_group_name_H-M_alt 'P 4/m m m'
_space_group_IT_number 123
_space_group_name_Hall '-P 4 2'
_cell_length_a 6.0765
_cell_length_b 6.0765
_cell_length_c 3.8224
_cell_angle_alpha 90.00
_cell_angle_beta 90.00
_cell_angle_gamma 90.00
loop_
_atom_site_label
_atom_site_type_symbol
_atom_site_fract_x
_atom_site_fract_y
_atom_site_fract_z
Mg1 Mg 0.0000 0.0000 0.0000
Au1 Au 0.5000 0.5000 0.5000
I1 I 0.0000 0.5000 0.5000
N1 N 0.5000 0.5000 0.0000
# size of the total moment: 0.1 μB per formula unit
# excess energy over the best structure of this formula in the dataset: 9.2 kJ per mole of atoms
# energy relative to the elements, uncorrected: 0.63 eV/atom

---

Q: What is the formula in the third record?
A: MgAuI2N

---

Please write out number 4 again, unchanged.
# MgAuI2N PBE relaxed
data_MgAuI2N
_chemical_formula_sum 'Mg1 Au1 I2 N1'
_space_group_name_H-M_alt 'P 4/m m m'
_space_group_IT_number 123
_space_group_name_Hall '-P 4 2'
_cell_length_a 6.0765
_cell_length_b 6.0765
_cell_length_c 3.8224
_cell_angle_alpha 90.00
_cell_angle_beta 90.00
_cell_angle_gamma 90.00
loop_
_atom_site_label
_atom_site_type_symbol
_atom_site_fract_x
_atom_site_fract_y
_atom_site_fract_z
Mg1 Mg 0.0000 0.0000 0.0000
Au1 Au 0.5000 0.5000 0.5000
I1 I 0.0000 0.5000 0.5000
N1 N 0.5000 0.5000 0.0000
# size of the total moment: 0.1 μB per formula unit
# excess energy over the best structure of this formula in the dataset: 9.2 kJ per mole of atoms
# energy relative to the elements, uncorrected: 0.63 eV/atom

---

Q: The highest size of the total moment belongs to which entry?
A: number 3